GGA-PBE Pr2NdCo, optimized geometry; final energy = -43.10 eV/cell; ΔH_f (0 K) = -0.030 eV per atom; SG = P2_1/m (11); energy above the lowest structure with this stoichiometry = 0.079 eV/f.u.
1.0
-1.1271 -0.4018 -3.5842
1.0288 -5.8826 2.3295
-9.5704 -0.4615 3.0612
Pr Nd Co
4 2 2
Direct
0.1381 0.2779 0.4267 Pr
0.8619 0.7221 0.9267 Pr
0.8619 0.7221 0.5733 Pr
0.1381 0.2779 0.0733 Pr
0.5923 0.1859 0.7500 Nd
0.4077 0.8141 0.2500 Nd
0.2650 0.5299 0.7500 Co
0.7350 0.4701 0.2500 Co